# 1
A plane-wave DFT calculation with PBE was carried out for a relaxed structure of Mg5Si9.

Properties
The uncorrected formation energy is 0.1279 eV/atom. The density of states at the Fermi level is 7.31 states/eV/cell. The symmetry is P1 (1). The final energy is -3.9279 eV/atom.

a = 7.554 Å, b = 7.209 Å, c = 10.927 Å
α = 80.24°, β = 81.72°, γ = 60.91°
Fractional positions:
Mg 0.511 0.971 0.726
Mg 0.185 0.845 0.352
Mg 0.401 0.385 0.500
Mg 0.701 0.534 0.351
Mg 0.125 0.172 0.547
Mg 0.881 0.626 0.596
Mg 0.349 0.052 0.025
Mg 0.762 0.034 0.926
Mg 0.917 0.240 0.135
Mg 0.503 0.535 0.921
Si 0.807 0.853 0.230
Si 0.118 0.484 0.980
Si 0.769 0.116 0.378
Si 0.170 0.778 0.691
Si 0.423 0.594 0.174
Si 0.656 0.328 0.695
Si 0.537 0.234 0.134
Si 0.812 0.646 0.874
Si 0.255 0.203 0.264
Si 0.850 0.010 0.593
Si 0.165 0.959 0.859
Si 0.109 0.784 0.067
Si 0.518 0.979 0.403
Si 0.929 0.317 0.790
Si 0.312 0.398 0.772
Si 0.687 0.687 0.092
Si 0.481 0.713 0.563
Si 0.066 0.521 0.365


# 2
A plane-wave DFT calculation with PBE was carried out for a relaxed structure of MgSi2.

Properties
The uncorrected formation energy is 0.1116 eV/atom. The density of states at the Fermi level is 8.10 states/eV/cell. The symmetry is P-1 (2). The final energy is -4.0353 eV/atom.

a = 7.034 Å, b = 7.011 Å, c = 9.712 Å
α = 82.53°, β = 82.31°, γ = 80.35°
Fractional positions:
Mg 0.770 0.150 0.731
Mg 0.230 0.850 0.269
Mg 0.199 0.592 0.018
Mg 0.437 0.309 0.256
Mg 0.193 0.011 0.868
Mg 0.807 0.989 0.132
Mg 0.563 0.691 0.744
Mg 0.801 0.408 0.982
Si 0.497 0.332 0.548
Si 0.122 0.197 0.111
Si 0.531 0.825 0.996
Si 0.739 0.135 0.402
Si 0.385 0.373 0.794
Si 0.793 0.795 0.474
Si 0.261 0.865 0.598
Si 0.017 0.293 0.339
Si 0.878 0.803 0.889
Si 0.207 0.205 0.526
Si 0.983 0.707 0.661
Si 0.615 0.627 0.206
Si 0.059 0.368 0.726
Si 0.469 0.175 0.004
Si 0.941 0.632 0.274
Si 0.503 0.668 0.452


# 3
A plane-wave DFT calculation with PBE was carried out for a relaxed structure of MgSi2.

Properties
The uncorrected formation energy is 0.1225 eV/atom. The density of states at the Fermi level is 3.27 states/eV/cell. The symmetry is P1 (1). The final energy is -4.0244 eV/atom.

a = 5.273 Å, b = 5.728 Å, c = 8.881 Å
α = 93.29°, β = 103.33°, γ = 117.16°
Fractional positions:
Mg 0.563 0.155 0.768
Mg 0.276 0.919 0.275
Mg 0.557 0.502 0.224
Mg 0.033 0.569 0.565
Si 0.694 0.054 0.114
Si 0.733 0.717 0.952
Si 0.596 0.822 0.536
Si 0.916 0.058 0.382
Si 0.206 0.428 0.845
Si 0.007 0.474 0.058
Si 0.432 0.349 0.507
Si 0.987 0.951 0.774


# 4
A plane-wave DFT calculation with PBE was carried out for a relaxed structure of Mg6Si5.

Properties
The uncorrected formation energy is 0.0774 eV/atom. The density of states at the Fermi level is 6.56 states/eV/cell. The symmetry is P1 (1). The final energy is -3.2574 eV/atom.

a = 4.457 Å, b = 7.057 Å, c = 14.065 Å
α = 88.88°, β = 96.35°, γ = 97.89°
Fractional positions:
Mg 0.946 0.698 0.029
Mg 0.721 0.676 0.493
Mg 0.134 0.479 0.349
Mg 0.342 0.811 0.648
Mg 0.143 0.129 0.779
Mg 0.511 0.500 0.170
Mg 0.201 0.985 0.421
Mg 0.194 0.382 0.576
Mg 0.620 0.931 0.886
Mg 0.577 0.968 0.114
Mg 0.135 0.199 0.011
Mg 0.748 0.394 0.864
Si 0.783 0.046 0.559
Si 0.649 0.297 0.448
Si 0.129 0.168 0.210
Si 0.345 0.558 0.941
Si 0.799 0.566 0.678
Si 0.615 0.800 0.310
Si 0.063 0.791 0.217
Si 0.639 0.223 0.690
Si 0.056 0.745 0.817
Si 0.651 0.155 0.294


# 5
A plane-wave DFT calculation with PBE was carried out for a relaxed structure of MgSi2.

Properties
The uncorrected formation energy is 0.1966 eV/atom. The density of states at the Fermi level is 3.94 states/eV/cell. The symmetry is C2/m (12). The final energy is -3.9503 eV/atom.

a = 3.372 Å, b = 9.595 Å, c = 6.737 Å
α = 90.00°, β = 90.00°, γ = 107.06°
Fractional positions:
Si 0.958 0.201 0.291
Si 0.545 0.799 0.292
Si 0.959 0.701 0.542
Si 0.958 0.201 0.791
Si 0.544 0.299 0.541
Si 0.545 0.799 0.792
Si 0.959 0.701 0.042
Si 0.544 0.299 0.041
Mg 0.251 0.000 0.042
Mg 0.251 0.500 0.792
Mg 0.251 0.000 0.542
Mg 0.251 0.500 0.292


# 6
A plane-wave DFT calculation with PBE was carried out for a relaxed structure of MgSi2.

Properties
The uncorrected formation energy is 0.1650 eV/atom. The density of states at the Fermi level is 4.25 states/eV/cell. The symmetry is Cm (8). The final energy is -3.9819 eV/atom.

a = 5.327 Å, b = 5.327 Å, c = 11.841 Å
α = 76.36°, β = 76.36°, γ = 39.26°
Fractional positions:
Mg 0.836 0.836 0.133
Mg 0.506 0.506 0.937
Mg 0.787 0.787 0.579
Mg 0.224 0.224 0.368
Si 0.801 0.801 0.886
Si 0.183 0.183 0.029
Si 0.954 0.954 0.322
Si 0.059 0.059 0.608
Si 0.545 0.545 0.174
Si 0.175 0.175 0.777
Si 0.425 0.425 0.729
Si 0.500 0.500 0.460